CaMgPb2, relaxed, DFT PBE; energy relative to the elements = -239 meV/atom
1.0
3.613 0.000 0.000
0.000 4.916 0.000
-0.905 0.000 6.581
Ca Mg Pb
1 1 2
Cartesian
0.000 0.000 0.000
1.354 0.000 3.291
0.642 2.458 4.916
2.066 2.458 1.665

---

SrCo2As, relaxed, DFT PBE; energy relative to the elements = -258 meV/atom
1.0
2.036 1.175 5.320
-2.036 1.175 5.320
0.000 -2.351 5.320
Sr Co As
1 2 1
Cartesian
0.000 0.000 0.000
0.000 0.000 2.993
0.000 0.000 12.967
0.000 0.000 7.980

---

Li3Pm2Ge4Au, relaxed, DFT PBE; energy relative to the elements = -576 meV/atom
1.0
4.222 0.000 0.000
0.000 4.222 0.000
0.000 0.000 10.551
Li Pm Ge Au
3 2 4 1
Cartesian
0.000 0.000 0.000
0.000 2.111 6.608
2.111 0.000 3.943
0.000 2.111 2.740
2.111 0.000 7.811
0.000 0.000 5.276
0.000 2.111 9.023
2.111 0.000 1.528
2.111 2.111 5.276
2.111 2.111 0.000

---

Pm2ThCo6, relaxed, DFT PBE; energy relative to the elements = -139 meV/atom
1.0
6.780 0.000 0.000
-3.390 5.872 0.000
0.000 0.000 4.106
Pm Th Co
2 1 6
Cartesian
0.000 3.915 0.000
3.390 1.957 0.000
0.000 0.000 0.000
-1.127 1.952 2.053
-2.263 3.920 2.053
2.254 0.000 2.053
1.127 1.952 2.053
4.526 0.000 2.053
2.263 3.920 2.053

---

ScGe2BrF, relaxed, DFT PBE; formation energy without anion corrections = 0.153 eV/atom
1.0
5.130 0.000 0.000
0.000 5.130 0.000
0.000 0.000 4.415
Sc Ge Br F
1 2 1 1
Cartesian
0.000 0.000 0.000
0.000 2.565 2.208
2.565 0.000 2.208
2.565 2.565 2.208
2.565 2.565 0.000

---

SrLaAl, relaxed, DFT PBE; energy relative to the elements = -135 meV/atom; offset from the most stable computed form = 71 meV/atom
1.0
7.695 -1.829 0.000
7.695 1.829 0.000
-1.754 0.000 7.259
Sr La Al
2 2 2
Cartesian
1.806 0.000 0.457
11.829 0.000 6.802
1.325 0.000 4.252
12.311 0.000 3.007
6.469 0.000 4.988
7.166 0.000 2.271

---

| no. | M_tot (μB per atom) |
| --- | --- |
| 1 | 0.000 |
| 2 | 0.066 |
| 3 | 0.000 |
| 4 | 0.395 |
| 5 | 0.000 |
| 6 | 0.000 |